No. 1
# Y2CrCo

A relaxed Y2CrCo crystal (PBEsol, Alexandria).

Results
Magnetization, μB/f.u.: 0.58
Space group: Amm2
V, Å³ per cell: 81.1
E_form, eV per atom: 0.125
D(E_F), states/eV per cell: 5.40
Theoretical density, kg/m3: 5914

POSCAR file:
```
Y2CrCo
1.0
3.6621 0.0000 0.0000
0.0000 2.1911 5.0517
0.0000 -2.1911 5.0517
Y Cr Co
2 1 1
direct
0.0000 0.0000 0.0000
0.5000 0.2933 0.2933
0.5000 0.5987 0.5987
0.0000 0.7065 0.7065
```



No. 2
# ZnCrCo2

A relaxed ZnCrCo2 crystal (PBEsol, Alexandria).

Results
Magnetization, μB/f.u.: 1.32
Space group: F-43m
V, Å³ per cell: 44.8
E_form, eV per atom: 0.241
D(E_F), states/eV per cell: 5.66
Theoretical density, kg/m3: 8714

POSCAR file:
```
ZnCrCo2
1.0
0.0000 2.8196 2.8196
2.8196 0.0000 2.8196
2.8196 2.8196 0.0000
Zn Cr Co
1 1 2
direct
0.0000 0.0000 0.0000
0.2500 0.2500 0.2500
0.5000 0.5000 0.5000
0.7500 0.7500 0.7500
```



No. 3
# ZnCr2Co

A relaxed ZnCr2Co crystal (PBEsol, Alexandria).

Results
Magnetization, μB/f.u.: 0.23
Space group: R-3m
V, Å³ per cell: 45.3
E_form, eV per atom: 0.209
D(E_F), states/eV per cell: 4.87
Theoretical density, kg/m3: 8369

POSCAR file:
```
ZnCr2Co
1.0
1.2459 0.7193 8.4247
-1.2459 0.7193 8.4247
0.0000 -1.4387 8.4247
Zn Cr Co
1 2 1
direct
0.0000 0.0000 0.0000
0.2447 0.2447 0.2447
0.7553 0.7553 0.7553
0.5000 0.5000 0.5000
```



No. 4
# ZnCr2Co

A relaxed ZnCr2Co crystal (PBEsol, Alexandria).

Results
Magnetization, μB/f.u.: 1.14
Space group: Cmm2
V, Å³ per cell: 45.5
E_form, eV per atom: 0.107
D(E_F), states/eV per cell: 4.21
Theoretical density, kg/m3: 8326

POSCAR file:
```
ZnCr2Co
1.0
1.4300 -1.9806 0.0000
1.4300 1.9806 0.0000
0.0000 0.0000 8.0397
Zn Cr Co
1 2 1
direct
0.0000 0.0000 0.0000
0.0000 0.0000 0.5093
0.5000 0.5000 0.2683
0.5000 0.5000 0.7449
```